Material: NaTl7Hg5
Method: DFT, GGA-PBE
State: relaxed

The structure in POSCAR format:
```
NaTl7Hg5
1.0
6.218 -6.568 0.000
6.218 6.568 0.000
-2.195 0.000 4.779
Na Tl Hg
1 7 5
Direct
0.000 0.000 0.000
0.220 0.799 0.510
0.306 0.306 0.303
0.331 0.585 0.956
0.585 0.331 0.956
0.598 0.598 0.597
0.793 0.793 0.290
0.799 0.220 0.510
0.153 0.153 0.652
0.425 0.973 0.203
0.623 0.973 0.802
0.973 0.425 0.203
0.973 0.623 0.802
```

**Crystal system**: monoclinic
**Calculated volume**: 390.4 Å³/cell
**ΔH_f (0 K)**: -0.027 eV/atom
**Space group**: Cm

Material: BaTe2Se
Method: DFT, GGA-PBE
State: relaxed

The structure in POSCAR format:
```
BaTe2Se
1.0
-2.262 3.045 4.803
2.262 -3.045 4.803
2.262 3.045 -4.803
Ba Te Se
1 2 1
Direct
0.000 0.000 0.000
0.304 0.804 0.500
0.515 0.515 0.000
0.698 0.198 0.500
```

**Crystal system**: orthorhombic
**Formation energy without anion corrections**: -865 meV per atom
**Calculated volume**: 132.3 Å³/cell
**Space group**: Imm2

Material: YHI2Br
Method: DFT, GGA-PBE
State: relaxed

The structure in POSCAR format:
```
YHI2Br
1.0
4.908 0.000 0.000
0.000 4.908 0.000
0.000 0.000 5.213
Y H I Br
1 1 2 1
Direct
0.000 0.000 0.000
0.500 0.500 0.500
0.000 0.500 0.500
0.500 0.000 0.500
0.500 0.500 0.000
```

**Crystal system**: tetragonal
**Relative energy among the computed polymorphs**: 0.582 eV/atom
**Calculated volume**: 125.6 Å³/cell
**Space group**: P4/mmm

Material: Ac12La5Er2
Method: DFT, GGA-PBE
State: relaxed

The structure in POSCAR format:
```
Ac12La5Er2
1.0
9.612 -6.309 0.000
9.612 6.309 0.000
-1.537 0.000 6.546
Ac La Er
12 5 2
Direct
0.046 0.564 0.797
0.058 0.058 0.273
0.148 0.650 0.371
0.350 0.852 0.629
0.391 0.391 0.991
0.436 0.954 0.203
0.564 0.046 0.797
0.609 0.609 0.009
0.650 0.148 0.371
0.852 0.350 0.629
0.942 0.942 0.727
0.954 0.436 0.203
0.185 0.185 0.857
0.288 0.288 0.437
0.500 0.500 0.500
0.712 0.712 0.563
0.815 0.815 0.143
0.261 0.739 0.000
0.739 0.261 0.000
```

**Crystal system**: monoclinic
**Calculated volume**: 794.0 Å³/cell
**ΔH_f (0 K)**: 0.107 eV/atom
**Space group**: C2/m

Material: KZrHSe2
Method: DFT, GGA-PBE
State: relaxed

The structure in POSCAR format:
```
KZrHSe2
1.0
7.412 0.000 0.000
0.000 3.898 0.000
-2.840 0.000 8.629
K Zr H Se
2 2 2 4
Direct
0.165 0.250 0.293
0.835 0.750 0.707
0.342 0.250 0.820
0.658 0.750 0.180
0.070 0.250 0.768
0.930 0.750 0.232
0.281 0.750 0.016
0.330 0.750 0.620
0.670 0.250 0.380
0.719 0.250 0.984
```

**Crystal system**: monoclinic
**Relative energy among the computed polymorphs**: 0.000 eV/atom
**Calculated volume**: 249.3 Å³/cell
**Space group**: P2_1/m

Material: Tb
Method: DFT, GGA-PBE
State: relaxed

The structure in POSCAR format:
```
Tb
1.0
0.000 3.459 3.459
3.459 0.000 3.459
3.459 3.459 0.000
Tb
2
Direct
0.125 0.125 0.125
0.875 0.875 0.875
```

**Crystal system**: cubic
**Relative energy among the computed polymorphs**: 1.902 eV/atom
**Calculated volume**: 82.8 Å³/cell
**ΔH_f (0 K)**: 1.902 eV/atom
**Space group**: Fd-3m

Material: CrNiBr2
Method: DFT, GGA-PBE
State: relaxed

The structure in POSCAR format:
```
CrNiBr2
1.0
2.138 -2.933 0.000
2.138 2.933 0.000
0.000 0.000 7.406
Cr Ni Br
1 1 2
Direct
0.000 0.000 0.000
0.500 0.500 0.835
0.000 0.000 0.659
0.500 0.500 0.187
```

**Crystal system**: orthorhombic
**Relative energy among the computed polymorphs**: 0.160 eV/atom
**Formation energy without anion corrections**: 64 meV per atom
**Calculated volume**: 92.9 Å³/cell
**Space group**: Cmm2

Material: Mn3As
Method: DFT, GGA-PBE
State: relaxed

The structure in POSCAR format:
```
Mn3As
1.0
1.344 0.776 7.783
-1.344 0.776 7.783
0.000 -1.552 7.783
Mn As
3 1
Direct
0.000 0.000 0.000
0.251 0.251 0.251
0.749 0.749 0.749
0.500 0.500 0.500
```

**Crystal system**: trigonal
**Calculated volume**: 48.7 Å³/cell
**ΔH_f (0 K)**: 0.250 eV/atom
**Space group**: R-3m